Material: SrMg2CdPd
Method: DFT, PBE
State: relaxed

The structure belongs to space group P4/mmm (No. 123); the cell edges are 5.056, 5.056 and 5.339 Å and the angles 90.00°, 90.00° and 90.00°. Symmetry generates all atoms from Sr at (0.000, 0.000, 0.000), Mg at (0.000, 0.500, 0.500), Cd at (0.500, 0.500, 0.000) and Pd at (0.500, 0.500, 0.500).

Its total energy is -2.4970 eV per atom. Its crystal system is tetragonal. The energy of formation is -0.3012 eV per atom. As for the total magnetic moment: 0.00 μB/f.u. As for the volume: 136.5 Å³ per cell. Its density of states at the Fermi level is 3.16 states/eV per cell.